Record 1
## ReBrCl2 (PBE-GGA)

Data for crystalline ReBrCl2 at its relaxed geometry.

```
ReBrCl2
1.0
3.049 0.000 0.000
0.000 3.049 0.000
0.000 0.000 9.462
Re Br Cl
1 1 2
Cartesian
1.524 1.524 2.365
1.524 1.524 7.096
0.000 0.000 0.922
0.000 0.000 3.809
```

Computed properties:
Energy relative to the lowest polymorph listed for this composition, eV/atom: 0.746
Total magnetization, μB/f.u.: 0.000
Formation energy from raw total energies, meV per atom: 581
Space-group type: No. 123
D(E_F), states/eV per atom: 0.805

***

Record 2
## Tb4TlAgRu2 (PBE-GGA)

Data for crystalline Tb4TlAgRu2 at its relaxed geometry.

```
Tb4TlAgRu2
1.0
5.037 0.000 0.000
2.518 4.362 0.000
2.518 1.454 8.264
Tb Tl Ag Ru
4 1 1 2
Cartesian
5.037 2.908 7.137
7.555 4.362 3.168
2.518 1.454 5.096
5.037 2.908 1.126
0.000 0.000 0.000
5.037 2.908 4.132
7.555 4.362 6.201
2.518 1.454 2.063
```

Computed properties:
DFT formation energy, eV per atom: -0.28
Total magnetization, μB/f.u.: 0.000
Space-group type: No. 166
D(E_F), states/eV per atom: 0.707